Entry 1:
LiNd2Si2 | PBE-GGA | relaxed

Values from the calculation:
magnetization	0.1478	μB per atom

a b c (Å): 10.978 4.396 10.635
angles (deg): 90.00 118.50 90.00
Space group C2/m (No. 12)
Inequivalent atoms, fractional coordinates:
Li: 0.230 0.000 0.365 (multiplicity 4)
Nd: 0.015 0.500 0.330 (multiplicity 4)
Nd: 0.191 0.500 0.099 (multiplicity 4)
Si: 0.010 0.000 0.890 (multiplicity 4)
Si: 0.126 0.000 0.571 (multiplicity 4)

***

Entry 2:
LiNd3Si3 | PBE-GGA | relaxed

Values from the calculation:
magnetization	0.0004	μB per atom

a b c (Å): 10.969 4.410 14.212
angles (deg): 90.00 110.54 90.00
Space group C2/m (No. 12)
Inequivalent atoms, fractional coordinates:
Li: 0.248 0.000 0.404 (multiplicity 4)
Nd: 0.041 0.500 0.382 (multiplicity 4)
Nd: 0.107 0.500 0.925 (multiplicity 4)
Nd: 0.247 0.500 0.221 (multiplicity 4)
Si: 0.040 0.000 0.225 (multiplicity 4)
Si: 0.105 0.000 0.075 (multiplicity 4)
Si: 0.117 0.000 0.550 (multiplicity 4)

***

Entry 3:
LiNd2Si2 | PBE-GGA | relaxed

Values from the calculation:
magnetization	0.0000	μB per atom

a b c (Å): 7.435 7.435 4.296
angles (deg): 90.00 90.00 90.00
Space group P4/mbm (No. 127)
Inequivalent atoms, fractional coordinates:
Li: 0.000 0.000 0.000 (multiplicity 2)
Nd: 0.181 0.319 0.500 (multiplicity 4)
Si: 0.114 0.614 0.000 (multiplicity 4)

***

Entry 4:
Li7Nd3Si4 | PBE-GGA | relaxed

Values from the calculation:
magnetization	0.0000	μB per atom

a b c (Å): 16.441 4.527 8.321
angles (deg): 90.00 119.88 90.00
Space group C2/m (No. 12)
Inequivalent atoms, fractional coordinates:
Li: 0.000 0.000 0.000 (multiplicity 2)
Li: 0.016 0.500 0.204 (multiplicity 4)
Li: 0.144 0.000 0.953 (multiplicity 4)
Li: 0.168 0.500 0.511 (multiplicity 4)
Nd: 0.000 0.000 0.500 (multiplicity 2)
Nd: 0.231 0.500 0.224 (multiplicity 4)
Si: 0.134 0.000 0.322 (multiplicity 4)
Si: 0.138 0.500 0.784 (multiplicity 4)

***

Entry 5:
Li6NdSi2 | PBE-GGA | relaxed

Values from the calculation:
magnetization	0.0000	μB per atom

a b c (Å): 4.254 4.254 9.394
angles (deg): 90.00 90.00 90.00
Space group P4/mmm (No. 123)
Inequivalent atoms, fractional coordinates:
Li: 0.000 0.000 0.000 (multiplicity 1)
Li: 0.000 0.500 0.219 (multiplicity 4)
Li: 0.500 0.500 0.000 (multiplicity 1)
Nd: 0.000 0.000 0.500 (multiplicity 1)
Si: 0.500 0.500 0.375 (multiplicity 2)

***

Entry 6:
LiNdSmSi | PBE-GGA | relaxed

Values from the calculation:
magnetization	0.0000	μB per atom

a b c (Å): 7.242 7.242 7.242
angles (deg): 90.00 90.00 90.00
Space group F-43m (No. 216)
Inequivalent atoms, fractional coordinates:
Li: 0.000 0.000 0.000 (multiplicity 4)
Nd: 0.250 0.250 0.250 (multiplicity 4)
Sm: 0.250 0.250 0.750 (multiplicity 4)
Si: 0.000 0.000 0.500 (multiplicity 4)

***

Entry 7:
Li2NdSm2Si2 | PBE-GGA | relaxed

Values from the calculation:
magnetization	0.0000	μB per atom

a b c (Å): 4.5088 4.5088 27.3900
angles (deg): 90.00 90.00 120.00
Space group R-3m (No. 166, hexagonal axes)
Inequivalent atoms, fractional coordinates:
Li: 0.0000 0.0000 0.0984 (multiplicity 6)
Nd: 0.0000 0.0000 0.5000 (multiplicity 3)
Sm: 0.0000 0.0000 0.3724 (multiplicity 6)
Si: 0.0000 0.0000 0.2377 (multiplicity 6)

***

Entry 8:
Li2Nd2SmSi2 | PBE-GGA | relaxed

Values from the calculation:
magnetization	0.0000	μB per atom

a b c (Å): 4.4867 4.4867 28.0037
angles (deg): 90.00 90.00 120.00
Space group R-3m (No. 166, hexagonal axes)
Inequivalent atoms, fractional coordinates:
Li: 0.0000 0.0000 0.1049 (multiplicity 6)
Nd: 0.0000 0.0000 0.3744 (multiplicity 6)
Sm: 0.0000 0.0000 0.5000 (multiplicity 3)
Si: 0.0000 0.0000 0.2331 (multiplicity 6)

***

Entry 9:
SrLi2Nd2Si2 | PBE-GGA | relaxed

Values from the calculation:
magnetization	0.0000	μB per atom

a b c (Å): 4.6566 4.6566 28.2590
angles (deg): 90.00 90.00 120.00
Space group R-3m (No. 166, hexagonal axes)
Inequivalent atoms, fractional coordinates:
Sr: 0.0000 0.0000 0.0000 (multiplicity 3)
Li: 0.0000 0.0000 0.4099 (multiplicity 6)
Nd: 0.0000 0.0000 0.1292 (multiplicity 6)
Si: 0.0000 0.0000 0.2527 (multiplicity 6)

***

Entry 10:
Li2TbNd2Si2 | PBE-GGA | relaxed

Values from the calculation:
magnetization	0.0000	μB per atom

a b c (Å): 4.4360 4.4360 28.3464
angles (deg): 90.00 90.00 120.00
Space group R-3m (No. 166, hexagonal axes)
Inequivalent atoms, fractional coordinates:
Li: 0.0000 0.0000 0.1097 (multiplicity 6)
Tb: 0.0000 0.0000 0.5000 (multiplicity 3)
Nd: 0.0000 0.0000 0.3763 (multiplicity 6)
Si: 0.0000 0.0000 0.2296 (multiplicity 6)

***

Entry 11:
Li2NdThSi2 | PBE-GGA | relaxed

Values from the calculation:
magnetization	0.0000	μB per atom

a b c (Å): 4.4650 4.4650 7.4228
angles (deg): 90.00 90.00 120.00
Space group P-3m1 (No. 164)
Inequivalent atoms, fractional coordinates:
Li: 0.3333 0.6667 0.2637 (multiplicity 2)
Nd: 0.0000 0.0000 0.5000 (multiplicity 1)
Th: 0.0000 0.0000 0.0000 (multiplicity 1)
Si: 0.3333 0.6667 0.7569 (multiplicity 2)

***

Entry 12:
LiNdThSi | PBE-GGA | relaxed

Values from the calculation:
magnetization	0.0000	μB per atom

a b c (Å): 7.277 7.277 7.277
angles (deg): 90.00 90.00 90.00
Space group F-43m (No. 216)
Inequivalent atoms, fractional coordinates:
Li: 0.000 0.000 0.000 (multiplicity 4)
Nd: 0.250 0.250 0.250 (multiplicity 4)
Th: 0.250 0.250 0.750 (multiplicity 4)
Si: 0.000 0.000 0.500 (multiplicity 4)

***

In kJ/mol of formula units, the formation energy from raw total energies values for the records above are, in order, -289 -439 -287 -545 -210 -134 -264 -262 -245 -264 -293 -80.
In eV/atom, the DFT total energy values for the records above are, in order, -5.0583 -5.2907 -5.0536 -3.9318 -3.2521 -4.5542 -4.5160 -4.5198 -4.0622 -4.5112 -4.9832 -5.0874.
In Å³ per atom, the calculated volume values for the records above are, in order, 22.55 22.99 23.75 19.18 18.89 23.74 22.96 23.25 25.27 23.00 21.36 24.09.